First-principles (PBE) data for crystalline CaTl6Hg2 at its relaxed geometry, as listed in the Alexandria database.

a b c (Å): 6.491 6.491 9.949
angles (deg): 121.80 121.80 50.31
Positions (direct):
Ca1 0.000 0.000 0.000
Tl1 0.007 0.007 0.666
Tl2 0.328 0.328 0.411
Tl3 0.336 0.336 0.074
Tl4 0.664 0.664 0.926
Tl5 0.672 0.672 0.589
Tl6 0.993 0.993 0.334
Hg1 0.338 0.338 0.750
Hg2 0.662 0.662 0.250

Values from the calculation:
- calculated formation energy (meV/atom) = -112
- total magnetization (μB per atom) = 0.000
- relative energy among the computed polymorphs (meV per atom) = 0

First-principles (PBE) data for crystalline CaTlHg2 at its relaxed geometry, as listed in the Alexandria database.

a b c (Å): 9.116 9.116 9.116
angles (deg): 24.97 24.97 24.97
Positions (direct):
Ca1 0.000 0.000 0.000
Tl1 0.833 0.833 0.833
Hg1 0.417 0.417 0.417
Hg2 0.584 0.584 0.584

Values from the calculation:
- calculated formation energy (meV/atom) = -229
- total magnetization (μB per atom) = 0.000

First-principles (PBE) data for crystalline CaTl2Hg at its relaxed geometry, as listed in the Alexandria database.

a b c (Å): 5.928 5.928 5.099
angles (deg): 113.19 113.19 44.17
Positions (direct):
Ca1 0.000 0.000 0.000
Tl1 0.512 0.512 0.515
Tl2 0.757 0.757 0.262
Hg1 0.256 0.256 0.765

Values from the calculation:
- calculated formation energy (meV/atom) = -261
- total magnetization (μB per atom) = 0.000

First-principles (PBE) data for crystalline CaTlHg2 at its relaxed geometry, as listed in the Alexandria database.

a b c (Å): 6.022 6.022 6.022
angles (deg): 134.71 134.71 65.99
Positions (direct):
Ca1 0.000 0.000 0.000
Tl1 0.750 0.250 0.500
Hg1 0.250 0.750 0.500
Hg2 0.500 0.500 0.000

Values from the calculation:
- calculated formation energy (meV/atom) = -300
- total magnetization (μB per atom) = 0.000

What is the calculated formation energy in the fourth record?
-300 meV/atom